# Na2VF5, PBEsol geometry, DFT SCAN
data_Na2VF5
_chemical_formula_sum 'Na8 V4 F20'
_symmetry_space_group_name_H-M 'P 1'
_symmetry_Int_Tables_number 1
_symmetry_space_group_name_Hall 'P 1'
_cell_length_a 5.293
_cell_length_b 7.381
_cell_length_c 10.975
_cell_angle_alpha 107.98
_cell_angle_beta 90.00
_cell_angle_gamma 90.00
loop_
_atom_site_label
_atom_site_fract_x
_atom_site_fract_y
_atom_site_fract_z
Na1 0.995 0.846 0.634
Na2 0.064 0.653 0.316
Na3 0.005 0.154 0.366
Na4 0.436 0.653 0.816
Na5 0.936 0.347 0.684
Na6 0.495 0.154 0.866
Na7 0.564 0.347 0.184
Na8 0.505 0.846 0.134
F1 0.845 0.053 0.166
F2 0.811 0.894 0.424
F3 0.311 0.106 0.076
F4 0.655 0.053 0.666
F5 0.282 0.386 0.359
F6 0.689 0.894 0.924
F7 0.782 0.614 0.141
F8 0.218 0.386 0.859
F9 0.189 0.106 0.576
F10 0.155 0.947 0.834
F11 0.718 0.614 0.641
F12 0.761 0.481 0.376
F13 0.739 0.481 0.876
F14 0.638 0.251 0.503
F15 0.362 0.749 0.497
F16 0.239 0.519 0.624
F17 0.138 0.749 0.997
F18 0.345 0.947 0.334
F19 0.261 0.519 0.124
F20 0.862 0.251 0.003
V1 0.000 0.000 0.000
V2 0.000 0.500 0.000
V3 0.500 0.500 0.500
V4 0.500 0.000 0.500
# Total magnetization: 8.00 Bohr magnetons per cell
# Uncorrected formation energy: -2428 kJ/mol of formula units

# KLa2NbO6, PBEsol geometry, DFT SCAN
data_KLa2NbO6
_chemical_formula_sum 'K2 La4 Nb2 O12'
_symmetry_space_group_name_H-M 'P 1'
_symmetry_Int_Tables_number 1
_symmetry_space_group_name_Hall 'P 1'
_cell_length_a 5.747
_cell_length_b 6.958
_cell_length_c 8.866
_cell_angle_alpha 104.62
_cell_angle_beta 90.00
_cell_angle_gamma 114.39
loop_
_atom_site_label
_atom_site_fract_x
_atom_site_fract_y
_atom_site_fract_z
O1 0.470 0.473 0.167
O2 0.314 0.095 0.707
O3 0.323 0.646 0.497
O4 0.220 0.905 0.293
O5 0.748 0.000 0.000
O6 0.686 0.905 0.293
O7 0.997 0.527 0.833
O8 0.003 0.473 0.167
O9 0.677 0.354 0.503
O10 0.780 0.095 0.707
O11 0.252 0.000 0.000
O12 0.530 0.527 0.833
La1 0.589 0.179 0.206
La2 0.130 0.260 0.928
La3 0.411 0.821 0.794
La4 0.870 0.740 0.072
K1 0.885 0.770 0.519
K2 0.115 0.230 0.481
Nb1 0.341 0.682 0.297
Nb2 0.659 0.318 0.703
# Total magnetization: 0.00 Bohr magnetons per cell
# Fermi-level density of states: 0.0000 states/eV/atom
# Uncorrected formation energy: -3162 kJ/mol of formula units

# Mg14AlCuO16, PBEsol geometry, DFT SCAN
data_Mg14AlCuO16
_chemical_formula_sum 'Mg14 Al1 Cu1 O16'
_symmetry_space_group_name_H-M 'P 1'
_symmetry_Int_Tables_number 1
_symmetry_space_group_name_Hall 'P 1'
_cell_length_a 4.185
_cell_length_b 8.421
_cell_length_c 8.497
_cell_angle_alpha 90.00
_cell_angle_beta 90.00
_cell_angle_gamma 90.00
loop_
_atom_site_label
_atom_site_fract_x
_atom_site_fract_y
_atom_site_fract_z
Mg1 0.000 0.753 0.745
Mg2 0.500 0.250 0.000
Mg3 0.000 0.247 0.255
Mg4 0.500 0.750 0.000
Mg5 0.000 0.500 0.500
Mg6 0.500 0.000 0.744
Mg7 0.000 0.500 0.000
Mg8 0.000 0.247 0.745
Mg9 0.500 0.500 0.252
Mg10 0.500 0.753 0.500
Mg11 0.500 0.247 0.500
Mg12 0.000 0.753 0.255
Mg13 0.500 0.500 0.748
Mg14 0.500 0.000 0.256
O1 0.500 0.500 0.000
O2 0.000 0.000 0.216
O3 0.000 0.500 0.756
O4 0.000 0.739 0.500
O5 0.000 0.000 0.784
O6 0.500 0.000 0.500
O7 0.000 0.500 0.244
O8 0.000 0.261 0.500
O9 0.500 0.500 0.500
O10 0.000 0.237 0.000
O11 0.500 0.000 0.000
O12 0.500 0.751 0.249
O13 0.500 0.249 0.751
O14 0.500 0.751 0.751
O15 0.500 0.249 0.249
O16 0.000 0.763 0.000
Al1 0.000 0.000 0.000
Cu1 0.000 0.000 0.500
# Total magnetization: 0.00 Bohr magnetons per cell
# Uncorrected formation energy: -8871 kJ/mol of formula units
# Offset from the most stable computed form: 0 meV per atom

# TbGeIr, PBEsol geometry, DFT SCAN
data_TbGeIr
_chemical_formula_sum 'Tb4 Ge4 Ir4'
_symmetry_space_group_name_H-M 'P 1'
_symmetry_Int_Tables_number 1
_symmetry_space_group_name_Hall 'P 1'
_cell_length_a 4.282
_cell_length_b 6.839
_cell_length_c 7.513
_cell_angle_alpha 90.00
_cell_angle_beta 90.00
_cell_angle_gamma 90.00
loop_
_atom_site_label
_atom_site_fract_x
_atom_site_fract_y
_atom_site_fract_z
Tb1 0.750 0.998 0.309
Tb2 0.250 0.002 0.691
Tb3 0.750 0.498 0.191
Tb4 0.250 0.502 0.809
Ge1 0.250 0.293 0.391
Ge2 0.750 0.207 0.891
Ge3 0.750 0.707 0.609
Ge4 0.250 0.793 0.109
Ir1 0.750 0.840 0.933
Ir2 0.250 0.160 0.067
Ir3 0.250 0.660 0.433
Ir4 0.750 0.340 0.567
# Formation energy: -1.109 eV/atom
# Total magnetization: 0.00 Bohr magnetons per cell
# Fermi-level density of states: 0.3661 states/eV/atom

# HfZrH2, PBEsol geometry, DFT SCAN
data_HfZrH2
_chemical_formula_sum 'Hf2 Zr2 H4'
_symmetry_space_group_name_H-M 'P 1'
_symmetry_Int_Tables_number 1
_symmetry_space_group_name_Hall 'P 1'
_cell_length_a 5.053
_cell_length_b 5.053
_cell_length_c 5.234
_cell_angle_alpha 118.86
_cell_angle_beta 118.86
_cell_angle_gamma 90.00
loop_
_atom_site_label
_atom_site_fract_x
_atom_site_fract_y
_atom_site_fract_z
H1 0.125 0.119 0.750
H2 0.881 0.375 0.250
H3 0.625 0.631 0.750
H4 0.369 0.875 0.250
Zr1 0.500 0.500 0.000
Zr2 0.750 0.250 0.500
Hf1 0.250 0.750 0.500
Hf2 0.000 0.000 0.000
# Total magnetization: 0.01 Bohr magnetons per cell
# Fermi-level density of states: 0.7364 states/eV/atom
# Raw total energy: -25.44 eV per atom

# FeCu3S8, PBEsol geometry, DFT SCAN
data_FeCu3S8
_chemical_formula_sum 'Fe2 Cu6 S16'
_symmetry_space_group_name_H-M 'P 1'
_symmetry_Int_Tables_number 1
_symmetry_space_group_name_Hall 'P 1'
_cell_length_a 5.581
_cell_length_b 5.587
_cell_length_c 11.292
_cell_angle_alpha 90.00
_cell_angle_beta 89.51
_cell_angle_gamma 90.00
loop_
_atom_site_label
_atom_site_fract_x
_atom_site_fract_y
_atom_site_fract_z
Cu1 0.500 0.000 0.000
Cu2 0.001 0.998 0.248
Cu3 0.499 0.498 0.252
Cu4 0.501 0.502 0.748
Cu5 0.000 0.500 0.500
Cu6 0.999 0.002 0.752
S1 0.878 0.901 0.550
S2 0.900 0.402 0.188
S3 0.601 0.377 0.451
S4 0.398 0.105 0.200
S5 0.399 0.623 0.549
S6 0.102 0.605 0.300
S7 0.122 0.099 0.450
S8 0.622 0.401 0.950
S9 0.600 0.902 0.312
S10 0.899 0.877 0.049
S11 0.898 0.395 0.700
S12 0.378 0.599 0.050
S13 0.602 0.895 0.800
S14 0.100 0.598 0.812
S15 0.400 0.098 0.688
S16 0.101 0.123 0.951
Fe1 0.500 0.000 0.500
Fe2 0.000 0.500 0.000
# Total magnetization: 0.00 Bohr magnetons per cell
# Fermi-level density of states: 0.3986 states/eV/atom
# Uncorrected formation energy: -289 kJ/mol of formula units
# Offset from the most stable computed form: 8 meV per atom

# YNiOs, PBEsol geometry, DFT SCAN
data_YNiOs
_chemical_formula_sum 'Y1 Ni1 Os1'
_symmetry_space_group_name_H-M 'P 1'
_symmetry_Int_Tables_number 1
_symmetry_space_group_name_Hall 'P 1'
_cell_length_a 3.245
_cell_length_b 3.245
_cell_length_c 5.319
_cell_angle_alpha 107.76
_cell_angle_beta 107.76
_cell_angle_gamma 90.00
loop_
_atom_site_label
_atom_site_fract_x
_atom_site_fract_y
_atom_site_fract_z
Ni1 0.037 0.037 0.073
Os1 0.632 0.632 0.264
Y1 0.331 0.331 0.663
# Formation energy: 0.065 eV/atom
# Total magnetization: 0.19 Bohr magnetons per cell
# Fermi-level density of states: 1.5436 states/eV/atom
# Offset from the most stable computed form: 0 meV per atom

# Ce3Si2Rh3, PBEsol geometry, DFT SCAN
data_Ce3Si2Rh3
_chemical_formula_sum 'Ce12 Si8 Rh12'
_symmetry_space_group_name_H-M 'P 1'
_symmetry_Int_Tables_number 1
_symmetry_space_group_name_Hall 'P 1'
_cell_length_a 5.531
_cell_length_b 7.590
_cell_length_c 14.525
_cell_angle_alpha 90.00
_cell_angle_beta 90.00
_cell_angle_gamma 90.00
loop_
_atom_site_label
_atom_site_fract_x
_atom_site_fract_y
_atom_site_fract_z
Si1 0.353 0.379 0.396
Si2 0.647 0.621 0.604
Si3 0.353 0.379 0.104
Si4 0.853 0.121 0.896
Si5 0.647 0.621 0.896
Si6 0.147 0.879 0.396
Si7 0.853 0.121 0.604
Si8 0.147 0.879 0.104
Ce1 0.358 0.970 0.608
Ce2 0.358 0.970 0.892
Ce3 0.142 0.470 0.892
Ce4 0.142 0.470 0.608
Ce5 0.642 0.030 0.108
Ce6 0.119 0.167 0.250
Ce7 0.858 0.530 0.392
Ce8 0.881 0.833 0.750
Ce9 0.858 0.530 0.108
Ce10 0.619 0.333 0.750
Ce11 0.642 0.030 0.392
Ce12 0.381 0.667 0.250
Rh1 0.600 0.307 0.250
Rh2 0.596 0.334 0.966
Rh3 0.596 0.334 0.534
Rh4 0.100 0.193 0.750
Rh5 0.096 0.166 0.466
Rh6 0.904 0.834 0.534
Rh7 0.400 0.693 0.750
Rh8 0.900 0.807 0.250
Rh9 0.404 0.666 0.466
Rh10 0.904 0.834 0.966
Rh11 0.404 0.666 0.034
Rh12 0.096 0.166 0.034
# Total magnetization: 7.65 Bohr magnetons per cell
# Fermi-level density of states: 1.0896 states/eV/atom
# Uncorrected formation energy: -753 kJ/mol of formula units

# CdMoSe, PBEsol geometry, DFT SCAN
data_CdMoSe
_chemical_formula_sum 'Cd1 Mo1 Se1'
_symmetry_space_group_name_H-M 'P 1'
_symmetry_Int_Tables_number 1
_symmetry_space_group_name_Hall 'P 1'
_cell_length_a 4.380
_cell_length_b 4.380
_cell_length_c 4.380
_cell_angle_alpha 60.00
_cell_angle_beta 60.00
_cell_angle_gamma 60.00
loop_
_atom_site_label
_atom_site_fract_x
_atom_site_fract_y
_atom_site_fract_z
Se1 0.000 0.000 0.000
Mo1 0.250 0.250 0.250
Cd1 0.500 0.500 0.500
# Total magnetization: 0.00 Bohr magnetons per cell
# Fermi-level density of states: 0.1933 states/eV/atom
# Uncorrected formation energy: 202 kJ/mol of formula units

# CeSiI, PBEsol geometry, DFT SCAN
data_CeSiI
_chemical_formula_sum 'Ce2 Si2 I2'
_symmetry_space_group_name_H-M 'P 1'
_symmetry_Int_Tables_number 1
_symmetry_space_group_name_Hall 'P 1'
_cell_length_a 4.087
_cell_length_b 4.087
_cell_length_c 11.554
_cell_angle_alpha 90.00
_cell_angle_beta 90.00
_cell_angle_gamma 120.00
loop_
_atom_site_label
_atom_site_fract_x
_atom_site_fract_y
_atom_site_fract_z
Ce1 0.000 0.000 0.835
Ce2 0.000 0.000 0.165
I1 0.667 0.333 0.650
I2 0.333 0.667 0.350
Si1 0.333 0.667 0.997
Si2 0.667 0.333 0.003
# Total magnetization: 1.59 Bohr magnetons per cell
# Fermi-level density of states: 1.0936 states/eV/atom
# Uncorrected formation energy: -314 kJ/mol of formula units

# Rb3CdRu, PBEsol geometry, DFT SCAN
data_Rb3CdRu
_chemical_formula_sum 'Rb3 Cd1 Ru1'
_symmetry_space_group_name_H-M 'P 1'
_symmetry_Int_Tables_number 1
_symmetry_space_group_name_Hall 'P 1'
_cell_length_a 6.577
_cell_length_b 6.577
_cell_length_c 6.577
_cell_angle_alpha 90.00
_cell_angle_beta 90.00
_cell_angle_gamma 90.00
loop_
_atom_site_label
_atom_site_fract_x
_atom_site_fract_y
_atom_site_fract_z
Rb1 0.000 0.500 0.000
Rb2 0.000 0.000 0.500
Rb3 0.500 0.000 0.000
Ru1 0.500 0.500 0.500
Cd1 0.000 0.000 0.000
# Formation energy: 1.124 eV/atom
# Total magnetization: 2.77 Bohr magnetons per cell
# Fermi-level density of states: 2.0122 states/eV/atom

# TlTe2Au, PBEsol geometry, DFT SCAN
data_TlTe2Au
_chemical_formula_sum 'Tl1 Te2 Au1'
_symmetry_space_group_name_H-M 'P 1'
_symmetry_Int_Tables_number 1
_symmetry_space_group_name_Hall 'P 1'
_cell_length_a 4.183
_cell_length_b 4.183
_cell_length_c 7.501
_cell_angle_alpha 73.81
_cell_angle_beta 73.81
_cell_angle_gamma 60.00
loop_
_atom_site_label
_atom_site_fract_x
_atom_site_fract_y
_atom_site_fract_z
Tl1 0.500 0.500 0.500
Te1 0.737 0.737 0.790
Te2 0.263 0.263 0.210
Au1 0.000 0.000 0.000
# Total magnetization: 0.00 Bohr magnetons per cell
# Fermi-level density of states: 0.5217 states/eV/atom
# Uncorrected formation energy: -55 kJ/mol of formula units